First-principles (GGA+U) data for a geometry-optimized Sr2CaCoO4 structure, as listed in Alexandria.

Unit cell a=3.4797 b=11.6680 c=12.3696 alpha=90.00 beta=90.00 gamma=90.00
Space group Cmcm (No. 63)
Unique sites:
Sr: 0.0000 0.1316 0.0462
Ca: 0.0000 0.3833 0.2500
Co: 0.0000 0.3471 0.7500
O: 0.0000 0.0543 0.2500
O: 0.0000 0.2291 0.6360
O: 0.0000 0.5000 0.0000

## Properties
Electronic total energy = -6.005 eV per atom
Volume = 502.2 Å³ per cell
Total moment = 12.082 μB per cell